1.
Crystalline Sn4As3P at its relaxed geometry, computed with PBE.

Structure (POSCAR):
```
Sn4As3P
1.0
2.880 -2.870 0.000
2.880 2.870 0.000
-0.099 0.000 11.470
Sn As P
4 3 1
direct
0.000 0.000 0.000 Sn
0.003 0.003 0.500 Sn
0.500 0.500 0.256 Sn
0.501 0.501 0.744 Sn
0.000 0.000 0.251 As
0.001 0.001 0.749 As
0.500 0.500 0.000 As
0.500 0.500 0.500 P
```

Results
Spin magnetization ... 0.00 μB per formula unit
VASP energy ... -35.77 eV/cell
Space-group type ... Cm
Energy relative to the elements ... -51 meV per atom



2.
Crystalline Sn3AsP at its relaxed geometry, computed with PBE.

Structure (POSCAR):
```
Sn3AsP
1.0
5.226 0.000 0.000
0.000 5.226 0.000
0.000 0.000 5.226
Sn As P
3 1 1
direct
0.000 0.000 0.500 Sn
0.000 0.500 0.000 Sn
0.500 0.000 0.000 Sn
0.500 0.500 0.500 As
0.000 0.000 0.000 P
```

Results
Spin magnetization ... 0.00 μB per formula unit
VASP energy ... -19.59 eV/cell
Space-group type ... Pm-3m
E above lowest polymorph ... 254.2 meV per atom
Energy relative to the elements ... 496 meV per atom



3.
Crystalline Sr2Sn2As2P at its relaxed geometry, computed with PBE.

Structure (POSCAR):
```
Sr2Sn2As2P
1.0
4.267 0.000 0.000
-0.014 6.776 0.000
-2.126 -2.179 7.249
Sr Sn As P
2 2 2 1
direct
0.150 0.172 0.300 Sr
0.850 0.828 0.700 Sr
0.425 0.310 0.851 Sn
0.575 0.690 0.149 Sn
0.183 0.676 0.367 As
0.817 0.324 0.633 As
0.500 0.000 0.000 P
```

Results
Spin magnetization ... 0.00 μB per formula unit
VASP energy ... -30.71 eV/cell
Space-group type ... P-1
Energy relative to the elements ... -661 meV per atom



4.
Crystalline Sr2SnAsP at its relaxed geometry, computed with PBE.

Structure (POSCAR):
```
Sr2SnAsP
1.0
6.849 0.000 0.000
0.000 4.327 0.000
-3.090 0.000 10.553
Sr Sn As P
4 2 2 2
direct
0.178 0.250 0.382 Sr
0.221 0.750 0.981 Sr
0.779 0.250 0.019 Sr
0.822 0.750 0.618 Sr
0.336 0.250 0.765 Sn
0.664 0.750 0.235 Sn
0.317 0.750 0.608 As
0.683 0.250 0.392 As
0.020 0.750 0.184 P
0.980 0.250 0.816 P
```

Results
Spin magnetization ... 0.00 μB per formula unit
VASP energy ... -43.02 eV/cell
Space-group type ... P2_1/m
Energy relative to the elements ... -817 meV per atom



Question: Among the records above, which one has the highest VASP energy?
Answer: Sn3AsP



Question: What is the formula in the fourth record?
Answer: Sr2SnAsP



Repeat the first record exactly.
Crystalline Sn4As3P at its relaxed geometry, computed with PBE.

Structure (POSCAR):
```
Sn4As3P
1.0
2.880 -2.870 0.000
2.880 2.870 0.000
-0.099 0.000 11.470
Sn As P
4 3 1
direct
0.000 0.000 0.000 Sn
0.003 0.003 0.500 Sn
0.500 0.500 0.256 Sn
0.501 0.501 0.744 Sn
0.000 0.000 0.251 As
0.001 0.001 0.749 As
0.500 0.500 0.000 As
0.500 0.500 0.500 P
```

Results
Spin magnetization ... 0.00 μB per formula unit
VASP energy ... -35.77 eV/cell
Space-group type ... Cm
Energy relative to the elements ... -51 meV per atom



Question: What is the formula in the fourth record?
Answer: Sr2SnAsP